# 1
Here is crystalline YCrIn at its relaxed geometry from the Alexandria database. Energies are from PBE.

Structure (POSCAR):
```
YCrIn
1.0
0.000 3.499 3.499
3.499 0.000 3.499
3.499 3.499 0.000
Y Cr In
1 1 1
Cartesian
0.000 0.000 0.000 Y
5.248 5.248 5.248 Cr
1.749 1.749 1.749 In
```

Output
- ΔE_f: 0.649 eV per atom
- E_tot: -5.627 eV/atom
- Calculated density: 4.96 g/cm³

---

# 2
Here is crystalline ZnCr3Cu at its relaxed geometry from the Alexandria database. Energies are from PBE.

Structure (POSCAR):
```
ZnCr3Cu
1.0
4.649 0.000 0.000
0.000 4.649 0.000
0.000 0.000 4.649
Zn Cr Cu
1 3 1
Cartesian
0.000 0.000 0.000 Zn
0.000 2.325 2.325 Cr
2.325 0.000 2.325 Cr
2.325 2.325 0.000 Cr
2.325 2.325 2.325 Cu
```

Output
- ΔE_f: 1.269 eV per atom
- E_tot: -5.579 eV/atom
- Calculated density: 4.71 g/cm³

---

# 3
Here is crystalline Pm3Ho5Sn12 at its relaxed geometry from the Alexandria database. Energies are from PBE.

Structure (POSCAR):
```
Pm3Ho5Sn12
1.0
-8.966 8.966 8.966
8.966 -8.966 8.966
8.966 8.966 -8.966
Pm Ho Sn
12 20 48
Cartesian
4.483 2.241 0.000 Pm
8.966 4.483 -2.241 Pm
2.241 0.000 4.483 Pm
11.207 0.000 4.483 Pm
0.000 4.483 2.241 Pm
4.483 -2.241 8.966 Pm
4.483 11.207 0.000 Pm
8.966 4.483 6.724 Pm
-2.241 8.966 4.483 Pm
6.724 8.966 4.483 Pm
0.000 4.483 11.207 Pm
4.483 6.724 8.966 Pm
0.000 0.000 0.000 Ho
4.483 4.483 -4.483 Ho
4.483 -4.483 4.483 Ho
8.966 0.000 0.000 Ho
13.448 2.241 0.000 Ho
8.966 -4.483 6.724 Ho
6.724 8.966 -4.483 Ho
6.724 0.000 4.483 Ho
4.483 6.724 0.000 Ho
8.966 4.483 2.241 Ho
-4.483 4.483 4.483 Ho
0.000 8.966 0.000 Ho
0.000 0.000 8.966 Ho
4.483 4.483 4.483 Ho
0.000 4.483 6.724 Ho
4.483 2.241 8.966 Ho
2.241 8.966 4.483 Ho
2.241 0.000 13.448 Ho
0.000 13.448 2.241 Ho
-4.483 6.724 8.966 Ho
2.797 -0.059 1.386 Sn
10.651 5.869 -4.541 Sn
8.907 -1.386 2.797 Sn
13.507 -1.686 3.097 Sn
11.763 0.059 1.386 Sn
10.651 -3.097 4.541 Sn
1.386 2.797 -0.059 Sn
12.062 4.424 -1.686 Sn
5.869 4.541 -1.686 Sn
7.579 2.797 0.059 Sn
-0.059 1.386 2.797 Sn
4.541 -1.686 5.869 Sn
8.907 7.579 -2.797 Sn
4.541 1.686 3.097 Sn
7.579 -2.797 8.907 Sn
5.869 -4.541 10.651 Sn
3.097 4.541 1.686 Sn
10.352 6.169 0.059 Sn
2.797 8.907 -1.386 Sn
10.651 3.097 4.424 Sn
4.541 10.651 -3.097 Sn
8.907 1.386 6.169 Sn
1.686 3.097 4.541 Sn
2.797 0.059 7.579 Sn
6.169 8.907 1.386 Sn
7.280 5.869 4.424 Sn
0.059 7.579 2.797 Sn
4.424 -1.686 12.062 Sn
-1.686 5.869 4.541 Sn
6.169 0.059 10.352 Sn
-1.386 2.797 8.907 Sn
5.869 4.424 7.280 Sn
3.097 13.507 -1.686 Sn
1.386 11.763 0.059 Sn
4.424 7.280 5.869 Sn
0.059 1.386 11.763 Sn
4.424 10.651 3.097 Sn
9.024 7.579 6.169 Sn
1.386 6.169 8.907 Sn
3.097 4.424 10.651 Sn
-3.097 4.541 10.651 Sn
7.579 6.169 9.024 Sn
-1.686 12.062 4.424 Sn
-2.797 8.907 7.579 Sn
-4.541 10.651 5.869 Sn
0.059 10.352 6.169 Sn
-1.686 3.097 13.507 Sn
6.169 9.024 7.579 Sn
```

Output
- ΔE_f: -0.070 eV per atom
- E_tot: -4.329 eV/atom
- Calculated density: 6.18 g/cm³

---

# 4
Here is crystalline PuZrTe2 at its relaxed geometry from the Alexandria database. Energies are from PBE.

Structure (POSCAR):
```
PuZrTe2
1.0
3.646 0.000 0.000
0.000 3.646 0.000
0.000 0.000 7.513
Pu Zr Te
1 1 2
Cartesian
0.000 0.000 0.000 Pu
0.000 0.000 3.756 Zr
1.823 1.823 2.032 Te
1.823 1.823 5.481 Te
```

Output
- E_tot: -8.119 eV/atom
- Calculated density: 9.81 g/cm³
- Uncorrected formation energy: -0.828 eV per atom
- Relative energy among the computed polymorphs: 43 meV/atom

---

- The highest E_tot belongs to which entry?
  Pm3Ho5Sn12

---

- What is the formula in the third record?
  Pm3Ho5Sn12

---

- The highest calculated density belongs to which entry?
  PuZrTe2

---

- The highest E_tot belongs to which entry?
  Pm3Ho5Sn12